Entry 1:
A plane-wave DFT calculation with PBE-GGA was carried out for crystalline V2FeSe4 at its relaxed geometry.

a b c (Å): 6.9054 6.9054 6.3059
angles (deg): 116.74 116.74 28.61
Element x y z (fractional)
V 0.0000 0.0000 0.0000
V 0.7467 0.7467 0.6891
Fe 0.2481 0.2481 0.3297
Se 0.1058 0.1058 0.4593
Se 0.3609 0.3609 0.0226
Se 0.6400 0.6400 0.9876
Se 0.8867 0.8867 0.5483

Density of states at the Fermi level ... 5.47 states/eV/cell
Magnetic moment ... 4.81 μB per cell
Energy above the lowest structure with this stoichiometry ... 0.023 eV per atom
Formation energy from raw total energies ... -3.82 eV per formula unit
Symmetry ... No. 8


Entry 2:
A plane-wave DFT calculation with PBE-GGA was carried out for crystalline VFe2Se4 at its relaxed geometry.

a b c (Å): 6.6752 6.6752 6.1302
angles (deg): 115.44 115.44 29.30
Element x y z (fractional)
V 0.0000 0.0000 0.0000
Fe 0.4873 0.4873 0.3604
Fe 0.7451 0.7451 0.6872
Se 0.1053 0.1053 0.7009
Se 0.3847 0.3847 0.6595
Se 0.6401 0.6401 0.2434
Se 0.8491 0.8491 0.1249

Density of states at the Fermi level ... 6.15 states/eV/cell
Magnetic moment ... 4.00 μB per cell
Energy above the lowest structure with this stoichiometry ... 0.056 eV per atom
Formation energy from raw total energies ... -2.79 eV per formula unit
Symmetry ... No. 8


Entry 3:
A plane-wave DFT calculation with PBE-GGA was carried out for crystalline VFe2Se4 at its relaxed geometry.

a b c (Å): 6.5810 6.5810 7.1725
angles (deg): 110.91 110.91 29.37
Element x y z (fractional)
V 0.0000 0.0000 0.0000
Fe 0.2338 0.2338 0.1268
Fe 0.7662 0.7662 0.8732
Se 0.1162 0.1162 0.7690
Se 0.3733 0.3733 0.7526
Se 0.6267 0.6267 0.2474
Se 0.8838 0.8838 0.2310

Density of states at the Fermi level ... 3.39 states/eV/cell
Magnetic moment ... 6.53 μB per cell
Energy above the lowest structure with this stoichiometry ... 0.045 eV per atom
Formation energy from raw total energies ... -2.86 eV per formula unit
Symmetry ... No. 12


Entry 4:
A plane-wave DFT calculation with PBE-GGA was carried out for crystalline VFe3Se at its relaxed geometry.

a b c (Å): 4.3371 4.3371 4.3371
angles (deg): 90.00 90.00 90.00
Element x y z (fractional)
V 0.0000 0.0000 0.0000
Fe 0.0000 0.5000 0.5000
Fe 0.5000 0.0000 0.5000
Fe 0.5000 0.5000 0.0000
Se 0.5000 0.5000 0.5000

Density of states at the Fermi level ... 5.67 states/eV/cell
Magnetic moment ... 8.81 μB per cell
Energy above the lowest structure with this stoichiometry ... 0.000 eV per atom
Formation energy from raw total energies ... 4.58 eV per formula unit
Symmetry ... No. 221


Entry 5:
A plane-wave DFT calculation with PBE-GGA was carried out for crystalline VFeSe2 at its relaxed geometry.

a b c (Å): 8.2045 8.2045 8.2045
angles (deg): 22.63 22.63 22.63
Element x y z (fractional)
V 0.0000 0.0000 0.0000
Fe 0.5000 0.5000 0.5000
Se 0.4015 0.4015 0.4015
Se 0.5985 0.5985 0.5985

Density of states at the Fermi level ... 5.03 states/eV/cell
Magnetic moment ... 2.46 μB per cell
Energy above the lowest structure with this stoichiometry ... 0.408 eV per atom
Formation energy from raw total energies ... -0.42 eV per formula unit
Symmetry ... No. 166


Entry 6:
A plane-wave DFT calculation with PBE-GGA was carried out for crystalline VFeSe4 at its relaxed geometry.

a b c (Å): 7.9283 7.9283 5.5223
angles (deg): 110.13 110.13 120.06
Element x y z (fractional)
V 0.0507 0.9493 0.7500
V 0.9493 0.0507 0.2500
Fe 0.3050 0.6950 0.2500
Fe 0.6950 0.3050 0.7500
Se 0.0133 0.6246 0.7891
Se 0.2310 0.3494 0.8549
Se 0.3494 0.2310 0.3549
Se 0.3754 0.9867 0.7109
Se 0.6246 0.0133 0.2891
Se 0.6506 0.7690 0.6451
Se 0.7690 0.6506 0.1451
Se 0.9867 0.3754 0.2109

Density of states at the Fermi level ... 7.15 states/eV/cell
Magnetic moment ... 1.40 μB per cell
Formation energy from raw total energies ... -2.19 eV per formula unit
Symmetry ... No. 15


Entry 7:
A plane-wave DFT calculation with PBE-GGA was carried out for crystalline VFeSe3 at its relaxed geometry.

a b c (Å): 3.4004 11.6231 11.6231
angles (deg): 150.86 90.00 90.00
Element x y z (fractional)
V 0.2500 0.1725 0.8275
V 0.7500 0.8275 0.1725
Fe 0.2500 0.1962 0.4647
Fe 0.7500 0.4647 0.1962
Se 0.2500 0.2605 0.1121
Se 0.2500 0.5920 0.8572
Se 0.2500 0.9752 0.4396
Se 0.7500 0.1121 0.2605
Se 0.7500 0.4396 0.9752
Se 0.7500 0.8572 0.5920

Density of states at the Fermi level ... 9.32 states/eV/cell
Magnetic moment ... 3.18 μB per cell
Energy above the lowest structure with this stoichiometry ... 0.000 eV per atom
Formation energy from raw total energies ... -2.30 eV per formula unit
Symmetry ... No. 40


Entry 8:
A plane-wave DFT calculation with PBE-GGA was carried out for crystalline VFeSe at its relaxed geometry.

a b c (Å): 3.9365 3.9365 3.9365
angles (deg): 60.00 60.00 60.00
Element x y z (fractional)
V 0.0000 0.0000 0.0000
Fe 0.7500 0.7500 0.7500
Se 0.5000 0.5000 0.5000

Density of states at the Fermi level ... 2.20 states/eV/cell
Magnetic moment ... 0.99 μB per cell
Energy above the lowest structure with this stoichiometry ... 0.000 eV per atom
Formation energy from raw total energies ... -0.47 eV per formula unit
Symmetry ... No. 216


Entry 9:
A plane-wave DFT calculation with PBE-GGA was carried out for crystalline VFeSe2 at its relaxed geometry.

a b c (Å): 8.0253 8.0253 8.0253
angles (deg): 24.17 24.17 24.17
Element x y z (fractional)
V 0.0000 0.0000 0.0000
Fe 0.5000 0.5000 0.5000
Se 0.1062 0.1062 0.1062
Se 0.8938 0.8938 0.8938

Density of states at the Fermi level ... 5.73 states/eV/cell
Magnetic moment ... 4.51 μB per cell
Energy above the lowest structure with this stoichiometry ... 0.688 eV per atom
Formation energy from raw total energies ... 0.70 eV per formula unit
Symmetry ... No. 166


Entry 10:
A plane-wave DFT calculation with PBE-GGA was carried out for crystalline VFeSe2 at its relaxed geometry.

a b c (Å): 3.6942 3.7026 6.4853
angles (deg): 90.00 90.21 90.00
Element x y z (fractional)
V 0.0000 0.0000 0.0000
Fe 0.5001 0.5000 0.0009
Se 0.5016 0.0000 0.2491
Se 0.9983 0.5000 0.7518

Density of states at the Fermi level ... 1.67 states/eV/cell
Magnetic moment ... 1.00 μB per cell
Energy above the lowest structure with this stoichiometry ... 0.000 eV per atom
Formation energy from raw total energies ... -2.05 eV per formula unit
Symmetry ... No. 6


Entry 11:
A plane-wave DFT calculation with PBE-GGA was carried out for crystalline FeW2Se at its relaxed geometry.

a b c (Å): 2.9247 2.9247 6.7400
angles (deg): 90.00 90.00 90.00
Element x y z (fractional)
Fe 0.0000 0.0000 0.0000
W 0.5000 0.5000 0.2439
W 0.5000 0.5000 0.7561
Se 0.0000 0.0000 0.5000

Density of states at the Fermi level ... 1.04 states/eV/cell
Magnetic moment ... 0.03 μB per cell
Formation energy from raw total energies ... 1.29 eV per formula unit
Symmetry ... No. 123


Entry 12:
A plane-wave DFT calculation with PBE-GGA was carried out for crystalline FeWSe2 at its relaxed geometry.

a b c (Å): 3.1464 3.1464 6.2262
angles (deg): 90.00 90.00 90.00
Element x y z (fractional)
Fe 0.0000 0.0000 0.0000
W 0.0000 0.0000 0.5000
Se 0.5000 0.5000 0.2518
Se 0.5000 0.5000 0.7482

Density of states at the Fermi level ... 4.15 states/eV/cell
Magnetic moment ... 2.31 μB per cell
Energy above the lowest structure with this stoichiometry ... 0.412 eV per atom
Formation energy from raw total energies ... 1.11 eV per formula unit
Symmetry ... No. 123